Entry 1:
# Y2Be3ZnPt4

A relaxed structure of Y2Be3ZnPt4 (PBE, Alexandria).

Unit cell a=4.008 b=4.008 c=10.053 alpha=90.00 beta=90.00 gamma=90.00
Atoms (fractional coordinates):
Y 0.000 0.500 0.242
Y 0.500 0.000 0.758
Be 0.000 0.500 0.881
Be 0.500 0.000 0.119
Be 0.500 0.500 0.500
Zn 0.000 0.000 0.500
Pt 0.000 0.000 0.000
Pt 0.000 0.500 0.651
Pt 0.500 0.000 0.349
Pt 0.500 0.500 0.000

energy of formation from the pure elements	-0.89	eV per atom

***

Entry 2:
# AcCeGd2

A relaxed structure of AcCeGd2 (PBE, Alexandria).

Unit cell a=12.794 b=12.794 c=12.794 alpha=16.11 beta=16.11 gamma=16.11
Atoms (fractional coordinates):
Ac 0.000 0.000 0.000
Ce 0.500 0.500 0.500
Gd 0.094 0.094 0.094
Gd 0.906 0.906 0.906

energy of formation from the pure elements	0.20	eV per atom
E above lowest polymorph	0.111	eV per atom

***

Entry 3:
# Ba2HCSe

A relaxed structure of Ba2HCSe (PBE, Alexandria).

Unit cell a=5.594 b=5.594 c=3.964 alpha=90.00 beta=90.00 gamma=90.00
Atoms (fractional coordinates):
Ba 0.000 0.500 0.000
Ba 0.500 0.000 0.000
H 0.000 0.000 0.500
C 0.000 0.000 0.000
Se 0.500 0.500 0.500

electronic total energy	-20.10	eV per cell

***

Entry 4:
# CrWBr2

A relaxed structure of CrWBr2 (PBE, Alexandria).

Unit cell a=3.297 b=3.297 c=8.081 alpha=90.00 beta=90.00 gamma=90.00
Atoms (fractional coordinates):
Cr 0.000 0.000 0.000
W 0.500 0.500 0.144
Br 0.000 0.000 0.384
Br 0.500 0.500 0.813

formation energy (no corrections)	0.4235	eV/atom
E above lowest polymorph	0.255	eV per atom

***

no.,calculated volume (Å³/f.u.)
1,161.50
2,140.51
3,124.05
4,87.83